[1]
Density functional theory data (GGA-PBE) for a relaxed structure of Pr2LuAl7Cu2.

Computed properties:
Magnetization: 0.00 μB per atom
SG: R-3m

Cell: 9.1650 9.1650 9.1650 Å, 35.35 35.35 35.35°
With the nearest neighbours (Å) after each atom.
Sites, in units of the cell vectors:
Pr 0.1414 0.1414 0.1414  12 Al 3.25-3.37, 3 Pr 3.47
Pr 0.8586 0.8586 0.8586  12 Al 3.25-3.37, 3 Pr 3.47
Lu 0.0000 0.0000 0.0000  6 Cu 3.21, 12 Al 3.41
Al 0.0713 0.5788 0.5788  2 Cu 2.52-2.56, 2 Al 2.74
Al 0.4212 0.4212 0.9287  2 Cu 2.52-2.56, 2 Al 2.74
Al 0.4212 0.9287 0.4212  2 Cu 2.52-2.56, 2 Al 2.74
Al 0.5000 0.5000 0.5000  6 Al 2.84
Al 0.5788 0.0713 0.5788  2 Cu 2.52-2.56, 2 Al 2.74
Al 0.5788 0.5788 0.0713  2 Cu 2.52-2.56, 2 Al 2.74
Al 0.9287 0.4212 0.4212  2 Cu 2.52-2.56, 2 Al 2.74
Cu 0.3352 0.3352 0.3352  6 Al 2.52-2.56
Cu 0.6648 0.6648 0.6648  6 Al 2.52-2.56

[2]
Density functional theory data (GGA-PBE) for a relaxed structure of PaGaO3.

Computed properties:
Magnetization: 0.40 μB per atom
SG: R-3c

Cell: 5.5000 5.5000 5.5000 Å, 60.38 60.38 60.38°
With the nearest neighbours (Å) after each atom.
Sites, in units of the cell vectors:
Pa 0.2500 0.2500 0.2500  3 O 2.47
Pa 0.7500 0.7500 0.7500  3 O 2.47
Ga 0.0000 0.0000 0.0000  6 O 1.97
Ga 0.5000 0.5000 0.5000  6 O 1.97
O 0.1956 0.7500 0.3044  2 Ga 1.97
O 0.2500 0.6956 0.8044  2 Ga 1.97
O 0.3044 0.1956 0.7500  2 Ga 1.97
O 0.6956 0.8044 0.2500  2 Ga 1.97
O 0.7500 0.3044 0.1956  2 Ga 1.97
O 0.8044 0.2500 0.6956  2 Ga 1.97

[3]
Density functional theory data (GGA-PBE) for a relaxed structure of YNbCoCu.

Computed properties:
Energy above the most stable polymorph in this dataset: 0 meV per atom
Magnetization: 0.02 μB per atom
SG: F-43m

Cell: 4.5730 4.5730 4.5730 Å, 60.00 60.00 60.00°
With the nearest neighbours (Å) after each atom.
Sites, in units of the cell vectors:
Y 0.0000 0.0000 0.0000  4 Co 2.80, 4 Cu 2.80
Nb 0.5000 0.5000 0.5000  4 Co 2.80, 4 Cu 2.80
Co 0.7500 0.7500 0.7500  4 Nb 2.80, 4 Y 2.80
Cu 0.2500 0.2500 0.2500  4 Nb 2.80, 4 Y 2.80

[4]
Density functional theory data (GGA-PBE) for a relaxed structure of YInPt.

Computed properties:
Magnetization: 0.00 μB per atom
SG: P-62m

Cell: 7.2352 7.2352 4.3287 Å, 90.00 90.00 120.00°
With the nearest neighbours (Å) after each atom.
Sites, in units of the cell vectors:
Y 0.0000 0.5706 0.0000  5 In 3.05-3.11, 2 Pt 3.20
Y 0.4294 0.4294 0.0000  5 In 3.05-3.11, 2 Pt 3.20
Y 0.5706 0.0000 0.0000  5 In 3.05-3.11, 2 Pt 3.20
In 0.0000 0.0000 0.0000  6 Pt 2.80, 3 Y 3.11
In 0.3333 0.6667 0.5000  3 Pt 2.79, 6 Y 3.05
In 0.6667 0.3333 0.5000  3 Pt 2.79, 6 Y 3.05
Pt 0.0000 0.2451 0.5000  4 In 2.79-2.80, 2 Pt 3.07
Pt 0.2451 0.0000 0.5000  4 In 2.79-2.80, 2 Pt 3.07
Pt 0.7549 0.7549 0.5000  4 In 2.79-2.80, 2 Pt 3.07

[5]
Density functional theory data (GGA-PBE) for a relaxed structure of TbErSi2W2C.

Computed properties:
Magnetization: 0.00 μB per atom
SG: Cm

Cell: 5.8644 5.8644 7.1131 Å, 123.11 123.11 38.13°
With the nearest neighbours (Å) after each atom.
Sites, in units of the cell vectors:
Tb 0.0000 0.0000 0.0000  2 C 2.62
Er 0.8508 0.8508 0.4080  2 C 2.59
Si 0.2935 0.2935 0.0428  1 Si 2.46, 3 W 2.53-2.62
Si 0.5566 0.5566 0.3648  1 Si 2.46, 3 W 2.53-2.61
W 0.2173 0.2173 0.6184  1 C 2.01
W 0.6321 0.6321 0.7866  1 C 2.01
C 0.4240 0.4240 0.7001  2 W 2.01

[6]
Density functional theory data (GGA-PBE) for a relaxed structure of BaReN3.

Computed properties:
Magnetization: 0.00 μB per atom
SG: C2/c

Cell: 7.9335 7.9335 6.2039 Å, 99.14 99.14 90.90°
With the nearest neighbours (Å) after each atom.
Sites, in units of the cell vectors:
Ba 0.0985 0.9015 0.7500  6 N 2.67-2.82
Ba 0.3271 0.6729 0.2500  8 N 2.80-3.10
Ba 0.6729 0.3271 0.7500  8 N 2.80-3.10
Ba 0.9015 0.0985 0.2500  6 N 2.67-2.82
Re 0.2043 0.3702 0.7409  4 N 1.75-1.92
Re 0.3702 0.2043 0.2409  4 N 1.75-1.92
Re 0.6298 0.7957 0.7591  4 N 1.75-1.92
Re 0.7957 0.6298 0.2591  4 N 1.75-1.92
N 0.0167 0.2346 0.6780  1 Re 1.78
N 0.1458 0.5805 0.8209  1 Re 1.75
N 0.2346 0.0167 0.1780  1 Re 1.78
N 0.3202 0.3583 0.4896  2 Re 1.91-1.92
N 0.3583 0.3202 0.9896  2 Re 1.91-1.92
N 0.4195 0.8542 0.6791  1 Re 1.75
N 0.5805 0.1458 0.3209  1 Re 1.75
N 0.6417 0.6798 0.0104  2 Re 1.91-1.92
N 0.6798 0.6417 0.5104  2 Re 1.91-1.92
N 0.7654 0.9833 0.8220  1 Re 1.78
N 0.8542 0.4195 0.1791  1 Re 1.75
N 0.9833 0.7654 0.3220  1 Re 1.78

[7]
Density functional theory data (GGA-PBE) for a relaxed structure of LiTbCu3S4.

Computed properties:
Energy above the most stable polymorph in this dataset: 0 meV per atom
Magnetization: 0.04 μB per atom
SG: P2_1/m

Cell: 5.9530 7.3632 9.3206 Å, 90.00 107.89 90.00°
With the nearest neighbours (Å) after each atom.
Sites, in units of the cell vectors:
Li 0.1170 0.2500 0.1930  4 S 2.37-2.61
Li 0.8830 0.7500 0.8070  4 S 2.37-2.61
Tb 0.2781 0.2500 0.7075  4 S 2.56-2.68
Tb 0.7219 0.7500 0.2925  4 S 2.56-2.68
Cu 0.1909 0.7500 0.2200  3 S 2.17-2.29
Cu 0.2739 0.5714 0.4818  3 S 2.27-2.41
Cu 0.2739 0.9286 0.4818  3 S 2.27-2.41
Cu 0.7261 0.0714 0.5182  3 S 2.27-2.41
Cu 0.7261 0.4286 0.5182  3 S 2.27-2.41
Cu 0.8091 0.2500 0.7800  3 S 2.17-2.29
S 0.0316 0.7500 0.5711  2 Cu 2.29
S 0.1554 0.2500 0.9473  1 Cu 2.17, 1 Li 2.37
S 0.4130 0.0076 0.2891  3 Cu 2.27-2.41, 1 Li 2.47
S 0.4130 0.4924 0.2891  3 Cu 2.27-2.41, 1 Li 2.47
S 0.5870 0.5076 0.7109  3 Cu 2.27-2.41, 1 Li 2.47
S 0.5870 0.9924 0.7109  3 Cu 2.27-2.41, 1 Li 2.47
S 0.8446 0.7500 0.0527  1 Cu 2.17, 1 Li 2.37
S 0.9684 0.2500 0.4289  2 Cu 2.29

[8]
Density functional theory data (GGA-PBE) for a relaxed structure of HgPt2W.

Computed properties:
Magnetization: 0.00 μB per atom
SG: F-43m

Cell: 4.5522 4.5522 4.5522 Å, 60.00 60.00 60.00°
With the nearest neighbours (Å) after each atom.
Sites, in units of the cell vectors:
Hg 0.0000 0.0000 0.0000  4 W 2.79, 4 Pt 2.79
Pt 0.2500 0.2500 0.2500  4 Pt 2.79, 4 Hg 2.79
Pt 0.5000 0.5000 0.5000  4 W 2.79, 4 Pt 2.79
W 0.7500 0.7500 0.7500  4 Hg 2.79, 4 Pt 2.79

[9]
Density functional theory data (GGA-PBE) for a relaxed structure of Zr2Ga2Tc.

Computed properties:
Magnetization: 0.00 μB per atom
SG: P4/mbm

Cell: 6.8879 6.8879 3.7529 Å, 90.00 90.00 90.00°
With the nearest neighbours (Å) after each atom.
Sites, in units of the cell vectors:
Zr 0.1762 0.3238 0.0000  6 Ga 2.67-2.83
Zr 0.3238 0.8238 0.0000  6 Ga 2.67-2.83
Zr 0.6762 0.1762 0.0000  6 Ga 2.67-2.83
Zr 0.8238 0.6762 0.0000  6 Ga 2.67-2.83
Ga 0.1284 0.6284 0.5000  1 Ga 2.50, 2 Zr 2.67, 2 Tc 2.71
Ga 0.3716 0.1284 0.5000  1 Ga 2.50, 2 Zr 2.67, 2 Tc 2.71
Ga 0.6284 0.8716 0.5000  1 Ga 2.50, 2 Zr 2.67, 2 Tc 2.71
Ga 0.8716 0.3716 0.5000  1 Ga 2.50, 2 Zr 2.67, 2 Tc 2.71
Tc 0.0000 0.0000 0.5000  4 Ga 2.71
Tc 0.5000 0.5000 0.5000  4 Ga 2.71

[10]
Density functional theory data (GGA-PBE) for a relaxed structure of ErLu6Cu2Te2.

Computed properties:
Magnetization: 0.00 μB per atom
SG: Imm2

Cell: 9.1034 9.1034 9.1034 Å, 155.18 68.16 117.68°
With the nearest neighbours (Å) after each atom.
Sites, in units of the cell vectors:
Er 0.0000 0.0000 0.0000  3 Te 3.18-3.20
Lu 0.0644 0.3791 0.6853  2 Cu 2.78, 1 Te 3.11
Lu 0.0915 0.7362 0.3553  2 Cu 2.84, 2 Te 3.09
Lu 0.3810 0.7362 0.6447  2 Cu 2.84, 2 Te 3.09
Lu 0.4521 0.5845 0.8676  2 Cu 2.79, 1 Te 3.05
Lu 0.6938 0.3791 0.3147  2 Cu 2.78, 1 Te 3.11
Lu 0.7169 0.5845 0.1324  2 Cu 2.79, 1 Te 3.05
Cu 0.3089 0.0731 0.2358  6 Lu 2.78-2.84
Cu 0.8373 0.0731 0.7642  6 Lu 2.78-2.84
Te 0.3402 0.3402 0.0000  6 Lu 3.05-3.09, 1 Er 3.20
Te 0.7335 0.2335 0.5000  6 Lu 3.11-3.13, 2 Er 3.18

[11]
Density functional theory data (GGA-PBE) for a relaxed structure of YErB4C.

Computed properties:
Magnetization: 0.00 μB per atom
SG: Imm2

Cell: 5.2437 5.2437 5.2437 Å, 143.70 102.47 88.75°
With the nearest neighbours (Å) after each atom.
Sites, in units of the cell vectors:
Y 0.0000 0.0000 0.0000  2 C 2.42, 2 B 2.68
Er 0.4693 0.4693 0.0000  2 C 2.39, 2 B 2.67
B 0.0065 0.7339 0.2726  1 C 1.49
B 0.4614 0.7339 0.7274  1 C 1.49
B 0.5981 0.2326 0.3654  3 B 1.77-1.87
B 0.8672 0.2326 0.6346  3 B 1.77-1.87
C 0.2373 0.7373 0.5000  2 B 1.49

[12]
Density functional theory data (GGA-PBE) for a relaxed structure of LiMgNbO4.

Computed properties:
Magnetization: 0.00 μB per atom
SG: Cmcm

Cell: 5.2703 5.2703 6.2627 Å, 90.00 90.00 114.04°
With the nearest neighbours (Å) after each atom.
Sites, in units of the cell vectors:
Li 0.1612 0.8388 0.7500  4 O 1.88-2.07
Li 0.8388 0.1612 0.2500  4 O 1.88-2.07
Mg 0.5000 0.5000 0.0000  6 O 2.05-2.13
Mg 0.5000 0.5000 0.5000  6 O 2.05-2.13
Nb 0.1492 0.8508 0.2500  4 O 1.85-1.90
Nb 0.8508 0.1492 0.7500  4 O 1.85-1.90
O 0.2419 0.2574 0.7500  1 Nb 1.90, 1 Li 2.07, 2 Mg 2.13
O 0.2574 0.2419 0.2500  1 Nb 1.90, 1 Li 2.07, 2 Mg 2.13
O 0.2687 0.7313 0.0082  1 Nb 1.85, 1 Li 1.88, 1 Mg 2.05
O 0.2687 0.7313 0.4918  1 Nb 1.85, 1 Li 1.88, 1 Mg 2.05
O 0.7313 0.2687 0.5082  1 Nb 1.85, 1 Li 1.88, 1 Mg 2.05
O 0.7313 0.2687 0.9918  1 Nb 1.85, 1 Li 1.88, 1 Mg 2.05
O 0.7426 0.7581 0.7500  1 Nb 1.90, 1 Li 2.07, 2 Mg 2.13
O 0.7581 0.7426 0.2500  1 Nb 1.90, 1 Li 2.07, 2 Mg 2.13

The final energy results, record by record, are as follows: -4.4123 -7.4027 -6.7356 -5.8219 -8.4271 -8.3246 -4.5356 -5.9961 -7.2328 -4.6920 -7.2828 -7.2779 eV per atom.